Entry 1:
PBE ZrNbPt3, optimized geometry; magnetization = 0.00 μB per cell; final energy = -0.5765 Ry/atom; crystal system = orthorhombic; DOS at the Fermi energy = 0.848 states/eV per atom; energy relative to the elements = -0.50 eV per atom
1.0
5.106 0.000 0.000
0.000 4.671 -2.478
0.000 0.997 7.521
Pt Nb Zr
6 2 2
Cartesian
1.276 1.207 5.079
1.277 3.529 3.848
2.553 0.000 0.000
3.830 2.140 1.195
3.830 4.461 -0.036
0.000 0.000 0.000
1.277 2.516 -0.899
3.830 3.152 5.942
3.830 4.389 2.632
1.277 1.279 2.411

***

Entry 2:
PBE ZrNbPt2, optimized geometry; magnetization = 0.00 μB per cell; final energy = -0.6191 Ry/atom; crystal system = tetragonal; DOS at the Fermi energy = 0.881 states/eV per atom; energy relative to the elements = -0.75 eV per atom
1.0
-1.529 -2.318 -3.085
3.572 -1.959 -0.298
-1.290 -2.765 2.716
Pt Nb Zr
2 1 1
Cartesian
-0.645 -1.382 1.358
1.786 -0.980 -0.149
0.377 -3.521 -0.333
-0.764 -1.159 -1.543

***

Entry 3:
PBE ZrNb2Pt2, optimized geometry; magnetization = 0.00 μB per cell; final energy = -0.6303 Ry/atom; crystal system = tetragonal; DOS at the Fermi energy = 1.078 states/eV per atom; energy relative to the elements = -0.42 eV per atom
1.0
8.052 0.000 0.000
0.000 8.052 0.000
0.000 0.000 2.817
Pt Zr Nb
4 2 4
Cartesian
5.430 6.649 1.408
6.649 2.622 1.408
2.622 1.404 1.408
1.404 5.430 1.408
4.026 4.026 0.000
0.000 0.000 0.000
0.981 3.045 0.000
7.071 5.008 0.000
3.045 7.071 0.000
5.008 0.981 0.000

***

Entry 4:
PBE ZrNbPt3, optimized geometry; magnetization = 0.01 μB per cell; final energy = -0.5038 Ry/atom; crystal system = cubic; DOS at the Fermi energy = 1.236 states/eV per atom; energy relative to the elements = 0.49 eV per atom
1.0
4.832 0.000 0.000
0.000 4.832 0.000
0.000 0.000 4.832
Pt Nb Zr
3 1 1
Cartesian
0.000 0.000 2.416
2.416 0.000 0.000
0.000 2.416 0.000
0.000 0.000 0.000
2.416 2.416 2.416

***

Entry 5:
PBE Zr3NbPt, optimized geometry; magnetization = 0.00 μB per cell; final energy = -0.5482 Ry/atom; crystal system = cubic; DOS at the Fermi energy = 1.833 states/eV per atom; energy relative to the elements = 0.89 eV per atom
1.0
-3.209 -3.449 -1.640
2.553 -0.344 -4.272
2.841 -3.588 1.986
Zr Pt Nb
3 1 1
Cartesian
1.420 -1.794 0.993
-1.605 -1.725 -0.820
1.276 -0.172 -2.136
1.092 -3.690 -1.963
0.000 0.000 0.000

***

Entry 6:
PBE ZrNb2Pt2, optimized geometry; magnetization = 0.00 μB per cell; final energy = -0.6342 Ry/atom; crystal system = tetragonal; DOS at the Fermi energy = 1.363 states/eV per atom; energy relative to the elements = -0.47 eV per atom
1.0
7.991 0.000 0.000
0.000 7.991 0.000
0.000 0.000 2.857
Nb Pt Zr
4 4 2
Cartesian
5.360 6.627 1.429
2.631 1.364 1.429
6.627 2.631 1.429
1.364 5.360 1.429
5.001 1.005 0.000
6.986 5.001 0.000
1.005 2.990 0.000
2.990 6.986 0.000
0.000 0.000 0.000
3.996 3.996 0.000